Run i
Here is a relaxed MnBe2Pt crystal from Alexandria via LeMat-Bulk. Energies are from PBE.

Computed properties:
Spin magnetization (μB per formula unit): 3.01
Mass density (g/cm³): 10.12

Geometry as POSCAR:
```
MnBe2Pt
1.0
-1.7551 -3.1513 0.7749
2.0704 -1.4267 -1.1125
3.0026 -0.8598 3.3042
Pt Be Mn
1 2 1
Cartesian
3.1859 -3.3889 2.2173
0.0392 -1.8828 1.2147
3.3617 -1.1248 3.0400
2.2702 -1.0444 0.8946
```


Run ii
Here is a relaxed MnBe2Pt crystal from Alexandria via LeMat-Bulk. Energies are from PBE.

Computed properties:
Spin magnetization (μB per formula unit): 1.45
Mass density (g/cm³): 9.75

Geometry as POSCAR:
```
MnBe2Pt
1.0
-2.3365 -6.4792 -3.2489
-0.6221 -5.6275 -5.0930
0.2578 -6.9981 -2.9925
Pt Be Mn
1 2 1
Cartesian
-2.0256 -14.3287 -8.5008
-1.3571 -9.5998 -5.6953
-2.6941 -19.0575 -11.3063
-0.6752 -4.7762 -2.8336
```


Run iii
Here is a relaxed MnBe2Pt crystal from Alexandria via LeMat-Bulk. Energies are from PBE.

Computed properties:
Spin magnetization (μB per formula unit): 3.20
Mass density (g/cm³): 9.41

Geometry as POSCAR:
```
MnBe2Pt
1.0
4.0877 -0.0066 0.0255
3.1837 2.5638 0.0255
0.8333 0.2931 4.5099
Be Pt Mn
2 1 1
Cartesian
7.2584 2.5526 0.1320
4.0654 1.4297 2.1994
2.0262 0.7126 1.1402
6.0785 2.1377 3.4207
```


Most stable of them? run i.


Run i
Here is a relaxed MnBe2Pt crystal from Alexandria via LeMat-Bulk. Energies are from PBE.

Computed properties:
Spin magnetization (μB per formula unit): 2.95
Mass density (g/cm³): 10.00

Geometry as POSCAR:
```
MnBe2Pt
1.0
-3.1546 2.9246 2.0257
-3.9930 1.1183 -2.3267
2.6670 -3.5019 1.7977
Be Pt Mn
2 1 1
Cartesian
-2.1656 0.7984 1.8308
-7.0649 3.9961 -0.2975
-2.3309 -0.2484 -0.3348
-3.6405 2.0591 -0.1533
```


Run ii
Here is a relaxed MnBe2Pt crystal from Alexandria via LeMat-Bulk. Energies are from PBE.

Computed properties:
Spin magnetization (μB per formula unit): 2.99
Mass density (g/cm³): 9.10

Geometry as POSCAR:
```
MnBe2Pt
1.0
6.1725 0.0000 0.0000
0.0000 6.1725 0.0000
3.0863 3.0863 2.5667
Mn Be Pt
2 4 2
Cartesian
3.0863 6.1725 1.2834
3.0863 3.0863 0.0000
7.7157 7.7703 1.9250
4.6294 4.5748 1.9250
1.4885 4.6294 0.6417
4.6841 1.5431 0.6417
0.0000 0.0000 0.0000
6.1725 3.0863 1.2834
```


Most stable of them? run i.


Run i
Here is a relaxed MnBe2Pt crystal from Alexandria via LeMat-Bulk. Energies are from PBE.

Computed properties:
Spin magnetization (μB per formula unit): 3.24
Mass density (g/cm³): 9.67

Geometry as POSCAR:
```
MnBe2Pt
1.0
-1.5808 -0.6151 -4.1980
1.3295 -3.8730 -1.9321
-1.8569 1.1080 3.9781
Be Mn Pt
2 1 1
Cartesian
-0.3265 -2.5045 -0.5095
0.0000 0.0000 0.0000
-0.1256 -2.2441 -3.0650
-1.7817 -0.8756 -1.6425
```


Run ii
Here is a relaxed MnBe2Pt crystal from Alexandria via LeMat-Bulk. Energies are from PBE.

Computed properties:
Spin magnetization (μB per formula unit): 2.33
Mass density (g/cm³): 10.22

Geometry as POSCAR:
```
MnBe2Pt
1.0
2.7435 0.0000 0.0000
0.0000 2.7435 0.0000
0.0000 0.0000 5.7856
Be Mn Pt
2 1 1
Cartesian
0.0000 0.0000 0.1531
1.3718 1.3718 1.3105
0.0000 0.0000 2.6433
1.3718 1.3718 4.5714
```


Most stable of them? run ii.


Run i
Here is a relaxed MnBe2Pt crystal from Alexandria via LeMat-Bulk. Energies are from PBE.

Computed properties:
Spin magnetization (μB per formula unit): 2.38
Mass density (g/cm³): 10.32

Geometry as POSCAR:
```
MnBe2Pt
1.0
-1.7500 1.8146 1.1766
-1.3595 0.2541 -2.4139
-3.3687 -4.1928 1.4560
Pt Be Mn
1 2 1
Cartesian
-4.0812 -2.1103 0.4733
-0.0196 -0.0244 0.0085
-1.6647 -2.0720 0.7195
-2.3969 -0.0139 -0.2547
```


Run ii
Here is a relaxed MnBe2Pt crystal from Alexandria via LeMat-Bulk. Energies are from PBE.

Computed properties:
Spin magnetization (μB per formula unit): 3.00
Mass density (g/cm³): 9.56

Geometry as POSCAR:
```
MnBe2Pt
1.0
4.0387 0.0000 0.0000
2.0193 3.4976 0.0000
2.0193 1.1659 3.2976
Be Pt Mn
2 1 1
Cartesian
2.0193 1.1659 0.8244
0.0000 0.0000 0.0000
6.0580 3.4976 2.4732
4.0387 2.3317 1.6488
```


Most stable of them? run i.